VASP calculation (GGA+U) on a relaxed CaWO2 crystal.

uncorrected energy = -6.38 eV per atom
relative energy among the computed polymorphs = 129 kJ/mol of formula units

Unit cell a=2.9500 b=8.6156 c=8.8957 alpha=88.32 beta=81.30 gamma=81.29
Space group P-1 (No. 2)
One atom of each set of equivalent atoms:
Ca (0.1119, 0.0241, 0.2389) x2
Ca (0.3237, 0.3121, 0.5295) x2
W (0.0280, 0.6114, 0.8142) x2
W (0.3025, 0.6751, 0.1096) x2
O (0.1571, 0.2025, 0.0361) x2
O (0.3008, 0.1841, 0.7555) x2
O (0.3145, 0.5361, 0.3266) x2
O (0.4970, 0.2279, 0.2923) x2